Entry 1:
Crystalline CaLa2As2 at its relaxed geometry. Source: Alexandria via LeMat-Bulk, functional GGA-PBE.

a b c (Å): 8.1563 8.1563 4.2010
angles (deg): 90.00 90.00 90.00
Fractional positions:
As: 0.3450 0.8450 0.0000
As: 0.8450 0.6550 0.0000
As: 0.6550 0.1550 0.0000
As: 0.1550 0.3450 0.0000
Ca: 0.0000 0.0000 0.0000
Ca: 0.5000 0.5000 0.0000
La: 0.1519 0.6519 0.5000
La: 0.6519 0.8481 0.5000
La: 0.8481 0.3481 0.5000
La: 0.3481 0.1519 0.5000

## Properties
Its space group is P4/mbm. The calculation puts the polymorph energy (0 for the lowest one) at 0.0 kJ/mol of formula units. For the electronic total energy, the calculation gives -54.8 eV for the cell shown. As for the formation energy: -1.247 eV/atom.



Entry 2:
Crystalline Ca2LaAs at its relaxed geometry. Source: Alexandria via LeMat-Bulk, functional GGA-PBE.

a b c (Å): 7.4861 7.4861 7.4861
angles (deg): 150.20 140.62 50.16
Fractional positions:
As: 0.2500 0.7500 0.5000
Ca: 0.0686 0.0686 0.0000
Ca: 0.4314 0.4314 0.0000
La: 0.7500 0.2500 0.5000

## Properties
Its space group is Immm. For the electronic total energy, the calculation gives -15.9 eV for the cell shown. As for the formation energy: -0.592 eV/atom.



Size of the total moment (computed, μB/cell): 0.000; 0.001